No. 1
First-principles (GGA-PBE) data for a geometry-optimized Nd5Sm4Sc structure, as listed in the Alexandria database.

a b c (Å): 9.144 9.144 11.199
angles (deg): 107.09 107.09 22.24
Element x y z (fractional)
Nd1 0.000 0.000 0.000
Nd2 0.294 0.294 0.900
Nd3 0.395 0.395 0.217
Nd4 0.605 0.605 0.783
Nd5 0.706 0.706 0.100
Sm1 0.195 0.195 0.582
Sm2 0.409 0.409 0.689
Sm3 0.591 0.591 0.311
Sm4 0.805 0.805 0.418
Sc1 0.000 0.000 0.500

Crystal system: monoclinic
Energy above the lowest structure with this stoichiometry in kJ/mol of formula units: 73
Energy of formation in kJ/mol of atoms: 9.8
V in Å³/atom: 33.82
Total energy in eV per atom: -4.80

No. 2
First-principles (GGA-PBE) data for a geometry-optimized TaTc2Pt structure, as listed in the Alexandria database.

a b c (Å): 3.326 3.326 5.728
angles (deg): 90.00 90.00 90.00
Element x y z (fractional)
Ta1 0.000 0.000 0.000
Tc1 0.000 0.000 0.484
Tc2 0.500 0.500 0.270
Pt1 0.500 0.500 0.759

Crystal system: tetragonal
Energy above the lowest structure with this stoichiometry in kJ/mol of formula units: 66
Energy of formation in kJ/mol of atoms: -18.1
V in Å³/atom: 15.84
Total energy in eV per atom: -9.84

No. 3
First-principles (GGA-PBE) data for a geometry-optimized Li2TcGeRu structure, as listed in the Alexandria database.

a b c (Å): 4.687 4.687 4.541
angles (deg): 90.00 90.00 90.00
Element x y z (fractional)
Li1 0.000 0.500 0.000
Li2 0.500 0.000 0.000
Tc1 0.000 0.000 0.000
Ge1 0.500 0.500 0.500
Ru1 0.000 0.000 0.500

Crystal system: tetragonal
Energy of formation in kJ/mol of atoms: 106.6
V in Å³/atom: 19.95
Total energy in eV per atom: -4.51

No. 4
First-principles (GGA-PBE) data for a geometry-optimized CsMgAsSe2 structure, as listed in the Alexandria database.

a b c (Å): 6.016 6.016 5.927
angles (deg): 90.00 90.00 90.00
Element x y z (fractional)
Cs1 0.000 0.000 0.000
Mg1 0.500 0.500 0.500
As1 0.000 0.000 0.500
Se1 0.000 0.500 0.000
Se2 0.500 0.000 0.000

Crystal system: tetragonal
Energy above the lowest structure with this stoichiometry in kJ/mol of formula units: 652
Formation energy (no corrections) in kJ/mol of atoms: 107.07
V in Å³/atom: 42.89
Total energy in eV per atom: -1.70

No. 5
First-principles (GGA-PBE) data for a geometry-optimized BeHg2Br structure, as listed in the Alexandria database.

a b c (Å): 3.257 3.257 8.115
angles (deg): 90.00 90.00 90.00
Element x y z (fractional)
Be1 0.000 0.000 0.000
Hg1 0.500 0.500 0.195
Hg2 0.500 0.500 0.805
Br1 0.000 0.000 0.500

Crystal system: tetragonal
Energy above the lowest structure with this stoichiometry in kJ/mol of formula units: 160
Formation energy (no corrections) in kJ/mol of atoms: 33.52
V in Å³/atom: 21.52
Total energy in eV per atom: -1.15

No. 6
First-principles (GGA-PBE) data for a geometry-optimized ZrTlCdAu structure, as listed in the Alexandria database.

a b c (Å): 4.956 4.956 4.956
angles (deg): 60.00 60.00 60.00
Element x y z (fractional)
Zr1 0.000 0.000 0.000
Tl1 0.250 0.250 0.250
Cd1 0.500 0.500 0.500
Au1 0.750 0.750 0.750

Crystal system: cubic
Energy of formation in kJ/mol of atoms: -8.0
V in Å³/atom: 21.52
Total energy in eV per atom: -3.86

No. 7
First-principles (GGA-PBE) data for a geometry-optimized NaTl5InHg2 structure, as listed in the Alexandria database.

a b c (Å): 8.679 8.679 17.197
angles (deg): 90.00 90.00 156.25
Element x y z (fractional)
Na1 0.056 0.944 0.500
Na2 0.944 0.056 0.000
Tl1 0.068 0.932 0.168
Tl2 0.103 0.897 0.849
Tl3 0.222 0.778 0.386
Tl4 0.267 0.733 0.714
Tl5 0.401 0.599 0.175
Tl6 0.599 0.401 0.675
Tl7 0.733 0.267 0.214
Tl8 0.778 0.222 0.886
Tl9 0.897 0.103 0.349
Tl10 0.932 0.068 0.668
In1 0.261 0.739 0.047
In2 0.739 0.261 0.547
Hg1 0.395 0.605 0.512
Hg2 0.437 0.563 0.835
Hg3 0.563 0.437 0.335
Hg4 0.605 0.395 0.012

Crystal system: orthorhombic
Energy of formation in kJ/mol of atoms: -3.8
V in Å³/atom: 28.98
Total energy in eV per atom: -1.87

No. 8
First-principles (GGA-PBE) data for a geometry-optimized KBa3O structure, as listed in the Alexandria database.

a b c (Å): 6.824 6.824 6.824
angles (deg): 90.00 90.00 90.00
Element x y z (fractional)
K1 0.000 0.000 0.000
Ba1 0.000 0.000 0.500
Ba2 0.000 0.500 0.000
Ba3 0.500 0.000 0.000
O1 0.500 0.500 0.500

Crystal system: cubic
Energy above the lowest structure with this stoichiometry in kJ/mol of formula units: 811
Formation energy (no corrections) in kJ/mol of atoms: 88.17
V in Å³/atom: 63.55
Total energy in eV per atom: -1.45

The highest total energy belongs to which entry? BeHg2Br